1.
! Ag3SbS3 | the Alexandria database | SCAN | single point on PBEsol structure; values from VASP
! Raw formation energy in eV per atom: -0.170
! Relative energy among the computed polymorphs in meV/atom: 0.0
&SYSTEM
  ibrav = 0, nat = 28, ntyp = 3
/
ATOMIC_SPECIES
S 32.06 S.upf
Sb 121.76 Sb.upf
Ag 107.87 Ag.upf
CELL_PARAMETERS angstrom
-6.059 -0.108 -1.204
1.687 -0.093 6.447
-0.336 15.397 0.309
ATOMIC_POSITIONS crystal
S 0.889 0.059 0.335
S 0.389 0.059 0.165
S 0.052 0.459 0.133
S 0.722 0.209 0.553
S 0.222 0.209 0.947
S 0.552 0.459 0.367
S 0.948 0.541 0.867
S 0.111 0.941 0.665
S 0.278 0.791 0.447
S 0.611 0.941 0.835
S 0.448 0.541 0.633
S 0.778 0.791 0.053
Sb 0.693 0.811 0.459
Sb 0.193 0.811 0.041
Sb 0.807 0.189 0.959
Sb 0.307 0.189 0.541
Ag 0.961 0.422 0.403
Ag 0.213 0.925 0.307
Ag 0.787 0.075 0.693
Ag 0.287 0.075 0.807
Ag 0.199 0.474 0.761
Ag 0.801 0.526 0.239
Ag 0.301 0.526 0.261
Ag 0.713 0.925 0.193
Ag 0.699 0.474 0.739
Ag 0.539 0.578 0.903
Ag 0.039 0.578 0.597
Ag 0.461 0.422 0.097

2.
! TlAs2Ir | the Alexandria database | SCAN | single point on PBEsol structure; values from VASP
! Energy of formation in eV per atom: 0.037
&SYSTEM
  ibrav = 0, nat = 8, ntyp = 3
/
ATOMIC_SPECIES
Ir 192.22 Ir.upf
As 74.92 As.upf
Tl 204.38 Tl.upf
CELL_PARAMETERS angstrom
-1.695 4.763 3.519
-3.581 -5.904 0.876
1.321 -3.264 5.054
ATOMIC_POSITIONS crystal
Ir 0.250 0.500 0.250
Ir 0.500 0.000 0.500
As 0.558 0.750 0.375
As 0.192 0.750 0.875
As 0.375 0.250 0.192
As 0.875 0.250 0.558
Tl 0.750 0.500 0.750
Tl 0.000 0.000 0.000

3.
! InIN2F | the Alexandria database | SCAN | single point on PBEsol structure; values from VASP
! Raw formation energy in eV per atom: 0.966
&SYSTEM
  ibrav = 0, nat = 5, ntyp = 4
/
ATOMIC_SPECIES
I 126.90 I.upf
N 14.01 N.upf
In 114.82 In.upf
F 19.00 F.upf
CELL_PARAMETERS angstrom
-1.002 -3.829 1.026
3.143 -1.412 -2.202
2.777 0.287 3.780
ATOMIC_POSITIONS crystal
I 0.000 0.000 0.000
N 0.000 0.500 0.000
N 0.500 0.000 0.000
In 0.500 0.500 0.500
F 0.000 0.000 0.500

4.
! Fe2OsAu | the Alexandria database | SCAN | single point on PBEsol structure; values from VASP
! Energy of formation in eV per atom: 0.240
! Relative energy among the computed polymorphs in meV/atom: 80.9
&SYSTEM
  ibrav = 0, nat = 4, ntyp = 3
/
ATOMIC_SPECIES
Fe 55.84 Fe.upf
Os 190.23 Os.upf
Au 196.97 Au.upf
CELL_PARAMETERS angstrom
-0.847 2.497 -0.487
-1.604 -1.179 4.125
4.150 1.618 1.079
ATOMIC_POSITIONS crystal
Fe 0.747 0.494 0.264
Fe 0.010 0.020 0.009
Os 0.490 0.980 0.460
Au 0.253 0.505 0.767

5.
! Mg2ScCu | the Alexandria database | SCAN | single point on PBEsol structure; values from VASP
! Energy of formation in eV per atom: -0.066
&SYSTEM
  ibrav = 0, nat = 4, ntyp = 3
/
ATOMIC_SPECIES
Cu 63.55 Cu.upf
Mg 24.30 Mg.upf
Sc 44.96 Sc.upf
CELL_PARAMETERS angstrom
3.360 0.000 0.000
0.000 3.794 0.000
-1.680 0.000 6.220
ATOMIC_POSITIONS crystal
Cu 0.954 0.500 0.907
Mg 0.808 0.000 0.617
Mg 0.178 0.500 0.357
Sc 0.531 0.000 0.061

6.
! CdTc2Ir | the Alexandria database | SCAN | single point on PBEsol structure; values from VASP
! Energy of formation in eV per atom: 0.329
&SYSTEM
  ibrav = 0, nat = 4, ntyp = 3
/
ATOMIC_SPECIES
Tc 98.00 Tc.upf
Cd 112.41 Cd.upf
Ir 192.22 Ir.upf
CELL_PARAMETERS angstrom
2.792 0.000 0.000
0.000 4.688 0.000
-1.396 -2.344 4.714
ATOMIC_POSITIONS crystal
Tc 0.005 0.005 0.010
Tc 0.725 0.225 0.449
Cd 0.500 0.500 0.000
Ir 0.271 0.771 0.541

7.
! Zr3InF15 | the Alexandria database | SCAN | single point on PBEsol structure; values from VASP
! Raw formation energy in eV per atom: -3.735
&SYSTEM
  ibrav = 0, nat = 38, ntyp = 3
/
ATOMIC_SPECIES
F 19.00 F.upf
Zr 91.22 Zr.upf
In 114.82 In.upf
CELL_PARAMETERS angstrom
-1.950 7.280 2.400
-5.245 -4.236 4.135
6.464 -1.186 4.401
ATOMIC_POSITIONS crystal
F 0.785 0.779 0.021
F 0.963 0.537 0.250
F 0.750 0.037 0.463
F 0.548 0.174 0.650
F 0.715 0.479 0.721
F 0.150 0.674 0.048
F 0.279 0.285 0.521
F 0.779 0.021 0.785
F 0.221 0.979 0.215
F 0.674 0.048 0.150
F 0.850 0.326 0.952
F 0.463 0.750 0.037
F 0.479 0.721 0.715
F 0.037 0.463 0.750
F 0.250 0.963 0.537
F 0.650 0.548 0.174
F 0.952 0.850 0.326
F 0.979 0.215 0.221
F 0.826 0.350 0.452
F 0.285 0.521 0.279
F 0.721 0.715 0.479
F 0.215 0.221 0.979
F 0.537 0.250 0.963
F 0.521 0.279 0.285
F 0.021 0.785 0.779
F 0.048 0.150 0.674
F 0.326 0.952 0.850
F 0.350 0.452 0.826
F 0.174 0.650 0.548
F 0.452 0.826 0.350
Zr 0.250 0.680 0.820
Zr 0.320 0.180 0.750
Zr 0.820 0.250 0.680
Zr 0.750 0.320 0.180
Zr 0.180 0.750 0.320
Zr 0.680 0.820 0.250
In 0.750 0.750 0.750
In 0.250 0.250 0.250

8.
! Sr2AlOs | the Alexandria database | SCAN | single point on PBEsol structure; values from VASP
! Energy of formation in eV per atom: 0.818
&SYSTEM
  ibrav = 0, nat = 4, ntyp = 3
/
ATOMIC_SPECIES
Sr 87.62 Sr.upf
Al 26.98 Al.upf
Os 190.23 Os.upf
CELL_PARAMETERS angstrom
3.387 0.000 0.000
1.694 2.933 0.000
1.694 0.978 10.132
ATOMIC_POSITIONS crystal
Sr 0.740 0.740 0.781
Sr 0.260 0.260 0.219
Al 0.500 0.500 0.500
Os 0.000 0.000 0.000

9.
! Y3MnAg | the Alexandria database | SCAN | single point on PBEsol structure; values from VASP
! Energy of formation in eV per atom: 0.256
&SYSTEM
  ibrav = 0, nat = 5, ntyp = 3
/
ATOMIC_SPECIES
Ag 107.87 Ag.upf
Y 88.91 Y.upf
Mn 54.94 Mn.upf
CELL_PARAMETERS angstrom
-1.497 1.433 -4.611
2.521 -3.885 -2.026
-4.118 -2.900 0.435
ATOMIC_POSITIONS crystal
Ag 0.500 0.500 0.500
Y 0.500 0.000 0.000
Y 0.000 0.500 0.000
Y 0.000 0.000 0.500
Mn 0.000 0.000 0.000

10.
! In4Te3 | the Alexandria database | SCAN | single point on PBEsol structure; values from VASP
! Raw formation energy in eV per atom: -0.302
&SYSTEM
  ibrav = 0, nat = 28, ntyp = 2
/
ATOMIC_SPECIES
Te 127.60 Te.upf
In 114.82 In.upf
CELL_PARAMETERS angstrom
-1.461 -3.965 1.439
-2.209 -3.528 -11.965
14.209 -5.590 -0.975
ATOMIC_POSITIONS crystal
Te 0.000 0.864 0.092
Te 0.000 0.136 0.908
Te 0.000 0.852 0.415
Te 0.500 0.366 0.724
Te 0.500 0.636 0.592
Te 0.500 0.352 0.085
Te 0.500 0.364 0.408
Te 0.500 0.648 0.915
Te 0.500 0.634 0.276
Te 0.000 0.148 0.585
Te 0.000 0.866 0.776
Te 0.000 0.134 0.224
In 0.500 0.976 0.682
In 0.500 0.102 0.072
In 0.000 0.524 0.182
In 0.500 0.898 0.928
In 0.000 0.657 0.713
In 0.000 0.343 0.287
In 0.500 0.024 0.318
In 0.000 0.398 0.572
In 0.000 0.602 0.428
In 0.500 0.853 0.532
In 0.500 0.843 0.213
In 0.000 0.353 0.968
In 0.000 0.476 0.818
In 0.500 0.157 0.787
In 0.000 0.647 0.032
In 0.500 0.147 0.468

11.
! NaCaTcC2 | the Alexandria database | SCAN | single point on PBEsol structure; values from VASP
! Energy of formation in eV per atom: 1.249
&SYSTEM
  ibrav = 0, nat = 5, ntyp = 4
/
ATOMIC_SPECIES
Ca 40.08 Ca.upf
C 12.01 C.upf
Na 22.99 Na.upf
Tc 98.00 Tc.upf
CELL_PARAMETERS angstrom
-0.198 -0.270 4.093
3.144 -2.642 -0.023
3.260 3.877 0.413
ATOMIC_POSITIONS crystal
Ca 0.000 0.000 0.500
C 0.000 0.500 0.000
C 0.500 0.000 0.000
Na 0.500 0.500 0.500
Tc 0.000 0.000 0.000

12.
! CuNi2Os | the Alexandria database | SCAN | single point on PBEsol structure; values from VASP
! Energy of formation in eV per atom: 0.331
! Relative energy among the computed polymorphs in meV/atom: 218.8
&SYSTEM
  ibrav = 0, nat = 4, ntyp = 3
/
ATOMIC_SPECIES
Ni 58.69 Ni.upf
Cu 63.55 Cu.upf
Os 190.23 Os.upf
CELL_PARAMETERS angstrom
-1.550 -0.336 -2.033
1.905 -3.720 -0.838
-2.846 -2.021 2.504
ATOMIC_POSITIONS crystal
Ni 0.500 0.000 0.500
Ni 0.000 0.000 0.000
Cu 0.000 0.500 0.500
Os 0.500 0.500 0.000